1.
First-principles (PBE) data for a geometry-optimized ZrFeRh3 structure, as listed in Alexandria.

```
ZrFeRh3
1.0
4.4663 0.0000 0.0000
0.0000 4.4663 0.0000
0.0000 0.0000 4.4663
Rh Fe Zr
3 1 1
Direct
0.0000 0.5000 0.0000
0.0000 0.0000 0.5000
0.5000 0.0000 0.0000
0.0000 0.0000 0.0000
0.5000 0.5000 0.5000
```

Output
- ρ: 8.495 g/cm³
- Energy relative to the lowest polymorph listed for this composition: 0 meV/atom

=====

2.
First-principles (PBE) data for a geometry-optimized ZrFeRh2 structure, as listed in Alexandria.

```
ZrFeRh2
1.0
3.0216 0.0000 0.0000
0.0000 3.7033 0.0000
0.0000 0.0000 5.6365
Fe Rh Zr
1 2 1
Direct
0.5000 0.5000 0.7847
0.0000 0.0000 0.9702
0.5000 0.5000 0.2555
0.0000 0.0000 0.4895
```

Output
- ρ: 9.290 g/cm³

=====

3.
First-principles (PBE) data for a geometry-optimized Zr5FeRh2 structure, as listed in Alexandria.

```
Zr5FeRh2
1.0
-3.5025 -1.6971 1.6415
3.8636 -4.6029 3.4851
0.5936 6.7097 8.2037
Zr Fe Rh
10 2 4
Direct
0.0000 0.0000 0.5000
0.0000 0.5000 0.0000
0.0000 0.8496 0.2071
0.0000 0.1504 0.7929
0.0000 0.6504 0.7071
0.0000 0.3496 0.2929
0.5000 0.6770 0.4165
0.5000 0.3230 0.5835
0.5000 0.8230 0.9165
0.5000 0.1770 0.0835
0.0000 0.5000 0.5000
0.0000 0.0000 0.0000
0.5000 0.5667 0.1592
0.5000 0.4333 0.8408
0.5000 0.9333 0.6592
0.5000 0.0667 0.3408
```

Output
- ρ: 7.653 g/cm³

=====

4.
First-principles (PBE) data for a geometry-optimized ZrFeRh2 structure, as listed in Alexandria.

```
ZrFeRh2
1.0
4.9486 -0.4350 0.3490
3.7707 3.2342 0.3490
1.2897 0.4140 3.6243
Fe Rh Zr
1 2 1
Direct
0.2502 0.2502 0.2496
0.9997 0.9997 0.0005
0.7501 0.7501 0.7498
0.5000 0.5000 0.5001
```

Output
- ρ: 9.431 g/cm³

=====

5.
First-principles (PBE) data for a geometry-optimized ZrFeRh3 structure, as listed in Alexandria.

```
ZrFeRh3
1.0
4.7516 0.0000 0.0000
0.0000 4.7516 0.0000
0.0000 0.0000 4.7516
Rh Fe Zr
3 1 1
Direct
0.0000 0.5000 0.0000
0.0000 0.0000 0.5000
0.5000 0.0000 0.0000
0.5000 0.5000 0.5000
0.0000 0.0000 0.0000
```

Output
- ρ: 7.055 g/cm³
- Energy relative to the lowest polymorph listed for this composition: 760 meV/atom

=====

6.
First-principles (PBE) data for a geometry-optimized Zr3Fe2Rh structure, as listed in Alexandria.

```
Zr3Fe2Rh
1.0
3.2199 0.0000 0.0000
0.0000 3.2199 0.0000
0.0000 0.0000 9.7029
Zr Fe Rh
3 2 1
Direct
0.0000 0.0000 0.0000
0.0000 0.0000 0.6759
0.0000 0.0000 0.3241
0.5000 0.5000 0.8328
0.5000 0.5000 0.1672
0.5000 0.5000 0.5000
```

Output
- ρ: 8.060 g/cm³

=====

7.
First-principles (PBE) data for a geometry-optimized ZrFeRh2 structure, as listed in Alexandria.

```
ZrFeRh2
1.0
4.4455 0.0000 0.0000
2.2227 3.8499 0.0000
2.2227 1.2833 3.6297
Fe Rh Zr
1 2 1
Direct
0.5000 0.5000 0.5000
0.0000 0.0000 0.0000
0.2500 0.2500 0.2500
0.7500 0.7500 0.7500
```

Output
- ρ: 9.433 g/cm³

=====

8.
First-principles (PBE) data for a geometry-optimized ZrFeRh2 structure, as listed in Alexandria.

```
ZrFeRh2
1.0
3.9407 0.0000 0.0000
0.0000 3.9407 0.0000
1.9703 1.9703 8.6904
Rh Fe Zr
4 2 2
Direct
0.5917 0.1250 0.2500
0.1583 0.6250 0.2500
0.3750 0.4083 0.7500
0.8750 0.8417 0.7500
0.5000 0.5000 0.0000
0.2500 0.7500 0.5000
0.0000 0.0000 0.0000
0.7500 0.2500 0.5000
```

Output
- ρ: 8.684 g/cm³

=====

Going through the records in order, we get calculated volume values of 89.1; 63.1; 311.5; 62.1; 107.3; 100.6; 62.1; 135.0 Å³ per cell.
Going through the records in order, we get ΔH_f (0 K) values of 0.38; -0.27; -0.40; -0.38; 1.14; -0.39; -0.21; 0.05 eV/atom.